w | Entry from Alexandria via LeMat-Bulk: a geometry-optimized CaClF2 structure (PBE-GGA).

Geometry as CIF:
```
data_CaClF2
_chemical_formula_sum 'Ca1 Cl1 F2'
_space_group_name_H-M_alt 'P 1'
_space_group_IT_number 1
_space_group_name_Hall 'P 1'
_cell_length_a 9.293
_cell_length_b 9.293
_cell_length_c 9.293
_cell_angle_alpha 21.92
_cell_angle_beta 21.92
_cell_angle_gamma 21.92
loop_
_atom_site_label
_atom_site_fract_x
_atom_site_fract_y
_atom_site_fract_z
Ca1 0.000 0.000 0.000
Cl1 0.500 0.500 0.500
F1 0.370 0.370 0.370
F2 0.630 0.630 0.630
```

Values from the calculation:
For the density of states at the Fermi level, the calculation gives 0.41 states/eV per atom.


x | Entry from Alexandria via LeMat-Bulk: a geometry-optimized CaClF2 structure (PBE-GGA).

Geometry as CIF:
```
data_CaClF2
_chemical_formula_sum 'Ca2 Cl2 F4'
_space_group_name_H-M_alt 'P 1'
_space_group_IT_number 1
_space_group_name_Hall 'P 1'
_cell_length_a 3.673
_cell_length_b 6.307
_cell_length_c 8.431
_cell_angle_alpha 109.21
_cell_angle_beta 98.70
_cell_angle_gamma 90.22
loop_
_atom_site_label
_atom_site_fract_x
_atom_site_fract_y
_atom_site_fract_z
Ca1 0.242 0.246 0.479
Ca2 0.758 0.754 0.521
Cl1 0.061 0.927 0.090
Cl2 0.939 0.073 0.910
F1 0.213 0.854 0.390
F2 0.294 0.624 0.625
F3 0.706 0.376 0.375
F4 0.787 0.146 0.610
```

Values from the calculation:
For the density of states at the Fermi level, the calculation gives 0.00 states/eV per atom.


In terms of stability, x leads; the second structure lies 278 meV per atom higher.


w | Entry from Alexandria via LeMat-Bulk: a geometry-optimized CaClF2 structure (PBE-GGA).

Geometry as CIF:
```
data_CaClF2
_chemical_formula_sum 'Ca1 Cl1 F2'
_space_group_name_H-M_alt 'P 1'
_space_group_IT_number 1
_space_group_name_Hall 'P 1'
_cell_length_a 4.398
_cell_length_b 4.398
_cell_length_c 4.398
_cell_angle_alpha 60.00
_cell_angle_beta 60.00
_cell_angle_gamma 60.00
loop_
_atom_site_label
_atom_site_fract_x
_atom_site_fract_y
_atom_site_fract_z
Ca1 0.000 0.000 0.000
Cl1 0.500 0.500 0.500
F1 0.250 0.250 0.250
F2 0.750 0.750 0.750
```

Values from the calculation:
For the density of states at the Fermi level, the calculation gives 1.42 states/eV per atom.


x | Entry from Alexandria via LeMat-Bulk: a geometry-optimized CaClF2 structure (PBE-GGA).

Geometry as CIF:
```
data_CaClF2
_chemical_formula_sum 'Ca2 Cl2 F4'
_space_group_name_H-M_alt 'P 1'
_space_group_IT_number 1
_space_group_name_Hall 'P 1'
_cell_length_a 4.349
_cell_length_b 6.341
_cell_length_c 7.064
_cell_angle_alpha 97.51
_cell_angle_beta 107.75
_cell_angle_gamma 110.04
loop_
_atom_site_label
_atom_site_fract_x
_atom_site_fract_y
_atom_site_fract_z
Ca1 0.000 0.000 0.000
Ca2 0.456 0.243 0.665
Cl1 0.361 0.585 0.149
Cl2 0.547 0.640 0.460
F1 0.205 0.075 0.334
F2 0.496 0.060 0.930
F3 0.723 0.631 0.811
F4 0.971 0.200 0.739
```

Values from the calculation:
For the density of states at the Fermi level, the calculation gives 0.00 states/eV per atom.


In terms of stability, x leads; the second structure lies 614 meV per atom higher.


w | Entry from Alexandria via LeMat-Bulk: a geometry-optimized CaCl2F2 structure (PBE-GGA).

Geometry as CIF:
```
data_CaCl2F2
_chemical_formula_sum 'Ca1 Cl2 F2'
_space_group_name_H-M_alt 'P 1'
_space_group_IT_number 1
_space_group_name_Hall 'P 1'
_cell_length_a 5.599
_cell_length_b 5.599
_cell_length_c 5.599
_cell_angle_alpha 130.87
_cell_angle_beta 130.87
_cell_angle_gamma 72.03
loop_
_atom_site_label
_atom_site_fract_x
_atom_site_fract_y
_atom_site_fract_z
Ca1 0.000 0.000 0.000
Cl1 0.389 0.389 0.000
Cl2 0.611 0.611 0.000
F1 0.250 0.750 0.500
F2 0.750 0.250 0.500
```

Values from the calculation:
For the density of states at the Fermi level, the calculation gives 0.00 states/eV per atom.


x | Entry from Alexandria via LeMat-Bulk: a geometry-optimized CaCl2F2 structure (PBE-GGA).

Geometry as CIF:
```
data_CaCl2F2
_chemical_formula_sum 'Ca2 Cl4 F4'
_space_group_name_H-M_alt 'P 1'
_space_group_IT_number 1
_space_group_name_Hall 'P 1'
_cell_length_a 6.908
_cell_length_b 6.908
_cell_length_c 3.775
_cell_angle_alpha 90.00
_cell_angle_beta 90.00
_cell_angle_gamma 90.00
loop_
_atom_site_label
_atom_site_fract_x
_atom_site_fract_y
_atom_site_fract_z
Ca1 0.000 0.000 0.000
Ca2 0.500 0.500 0.000
Cl1 0.102 0.398 0.000
Cl2 0.398 0.898 0.000
Cl3 0.602 0.102 0.000
Cl4 0.898 0.602 0.000
F1 0.210 0.710 0.500
F2 0.290 0.210 0.500
F3 0.710 0.790 0.500
F4 0.790 0.290 0.500
```

Values from the calculation:
For the density of states at the Fermi level, the calculation gives 0.00 states/eV per atom.


In terms of stability, x leads; the second structure lies 250 meV per atom higher.


w | Entry from Alexandria via LeMat-Bulk: a geometry-optimized Ca2Cl3F structure (PBE-GGA).

Geometry as CIF:
```
data_Ca2Cl3F
_chemical_formula_sum 'Ca4 Cl6 F2'
_space_group_name_H-M_alt 'P 1'
_space_group_IT_number 1
_space_group_name_Hall 'P 1'
_cell_length_a 7.368
_cell_length_b 7.368
_cell_length_c 7.368
_cell_angle_alpha 115.75
_cell_angle_beta 101.85
_cell_angle_gamma 111.12
loop_
_atom_site_label
_atom_site_fract_x
_atom_site_fract_y
_atom_site_fract_z
Ca1 0.000 0.000 0.500
Ca2 0.000 0.500 0.000
Ca3 0.441 0.191 0.250
Ca4 0.559 0.809 0.750
Cl1 0.221 0.471 0.750
Cl2 0.299 0.000 0.799
Cl3 0.299 0.500 0.299
Cl4 0.701 0.000 0.201
Cl5 0.701 0.500 0.701
Cl6 0.779 0.529 0.250
F1 0.167 0.917 0.250
F2 0.833 0.083 0.750
```

Values from the calculation:
For the density of states at the Fermi level, the calculation gives 0.00 states/eV per atom.


x | Entry from Alexandria via LeMat-Bulk: a geometry-optimized Ca2Cl3F structure (PBE-GGA).

Geometry as CIF:
```
data_Ca2Cl3F
_chemical_formula_sum 'Ca4 Cl6 F2'
_space_group_name_H-M_alt 'P 1'
_space_group_IT_number 1
_space_group_name_Hall 'P 1'
_cell_length_a 7.866
_cell_length_b 7.866
_cell_length_c 10.182
_cell_angle_alpha 113.72
_cell_angle_beta 113.72
_cell_angle_gamma 30.92
loop_
_atom_site_label
_atom_site_fract_x
_atom_site_fract_y
_atom_site_fract_z
Ca1 0.102 0.102 0.440
Ca2 0.358 0.358 0.181
Ca3 0.642 0.642 0.819
Ca4 0.898 0.898 0.560
Cl1 0.158 0.158 0.000
Cl2 0.282 0.282 0.386
Cl3 0.448 0.448 0.750
Cl4 0.552 0.552 0.250
Cl5 0.718 0.718 0.614
Cl6 0.842 0.842 0.000
F1 0.068 0.068 0.644
F2 0.932 0.932 0.356
```

Values from the calculation:
For the density of states at the Fermi level, the calculation gives 0.00 states/eV per atom.


In terms of stability, x leads; the second structure lies 7 meV per atom higher.


w | Entry from Alexandria via LeMat-Bulk: a geometry-optimized CaClF structure (PBE-GGA).

Geometry as CIF:
```
data_CaClF
_chemical_formula_sum 'Ca2 Cl2 F2'
_space_group_name_H-M_alt 'P 1'
_space_group_IT_number 1
_space_group_name_Hall 'P 1'
_cell_length_a 3.907
_cell_length_b 3.907
_cell_length_c 6.949
_cell_angle_alpha 90.00
_cell_angle_beta 90.00
_cell_angle_gamma 90.00
loop_
_atom_site_label
_atom_site_fract_x
_atom_site_fract_y
_atom_site_fract_z
Ca1 0.250 0.250 0.194
Ca2 0.750 0.750 0.806
Cl1 0.250 0.250 0.646
Cl2 0.750 0.750 0.354
F1 0.250 0.750 0.000
F2 0.750 0.250 0.000
```

Values from the calculation:
For the density of states at the Fermi level, the calculation gives 0.00 states/eV per atom.


x | Entry from Alexandria via LeMat-Bulk: a geometry-optimized CaClF structure (PBE-GGA).

Geometry as CIF:
```
data_CaClF
_chemical_formula_sum 'Ca1 Cl1 F1'
_space_group_name_H-M_alt 'P 1'
_space_group_IT_number 1
_space_group_name_Hall 'P 1'
_cell_length_a 3.909
_cell_length_b 3.909
_cell_length_c 4.258
_cell_angle_alpha 90.00
_cell_angle_beta 90.00
_cell_angle_gamma 120.00
loop_
_atom_site_label
_atom_site_fract_x
_atom_site_fract_y
_atom_site_fract_z
Ca1 0.000 0.000 0.000
Cl1 0.333 0.667 0.502
F1 0.667 0.333 0.002
```

Values from the calculation:
For the density of states at the Fermi level, the calculation gives 0.00 states/eV per atom.


In terms of stability, w leads; the second structure lies 66 meV per atom higher.


w | Entry from Alexandria via LeMat-Bulk: a geometry-optimized CaCl3F structure (PBE-GGA).

Geometry as CIF:
```
data_CaCl3F
_chemical_formula_sum 'Ca1 Cl3 F1'
_space_group_name_H-M_alt 'P 1'
_space_group_IT_number 1
_space_group_name_Hall 'P 1'
_cell_length_a 4.751
_cell_length_b 4.751
_cell_length_c 4.751
_cell_angle_alpha 90.00
_cell_angle_beta 90.00
_cell_angle_gamma 90.00
loop_
_atom_site_label
_atom_site_fract_x
_atom_site_fract_y
_atom_site_fract_z
Ca1 0.000 0.000 0.000
Cl1 0.000 0.500 0.500
Cl2 0.500 0.000 0.500
Cl3 0.500 0.500 0.000
F1 0.500 0.500 0.500
```

Values from the calculation:
For the density of states at the Fermi level, the calculation gives 0.51 states/eV per atom.


x | Entry from Alexandria via LeMat-Bulk: a geometry-optimized CaCl3F structure (PBE-GGA).

Geometry as CIF:
```
data_CaCl3F
_chemical_formula_sum 'Ca1 Cl3 F1'
_space_group_name_H-M_alt 'P 1'
_space_group_IT_number 1
_space_group_name_Hall 'P 1'
_cell_length_a 5.418
_cell_length_b 5.418
_cell_length_c 5.418
_cell_angle_alpha 90.00
_cell_angle_beta 90.00
_cell_angle_gamma 90.00
loop_
_atom_site_label
_atom_site_fract_x
_atom_site_fract_y
_atom_site_fract_z
Ca1 0.000 0.000 0.000
Cl1 0.000 0.000 0.500
Cl2 0.000 0.500 0.000
Cl3 0.500 0.000 0.000
F1 0.500 0.500 0.500
```

Values from the calculation:
For the density of states at the Fermi level, the calculation gives 3.88 states/eV per atom.


In terms of stability, x leads; the second structure lies 70 meV per atom higher.